(w)
Here is Pm3Dy3In after structural relaxation from Alexandria via LeMat-Bulk. Energies are from GGA-PBE.

It has space group P6_3/m (No. 176), with a = 9.4823 Å, b = 9.4823 Å, c = 5.6157 Å, α = 90.00°, β = 90.00° and γ = 120.00°. The asymmetric unit holds Pm at (0.1061, 0.6295, 0.2500), Dy at (0.0607, 0.8220, 0.7500) and In at (0.3333, 0.6667, 0.7500).

The density of states at the Fermi level comes out at 9.48 states/eV/f.u.

---

(x)
Here is Pm3Dy3In after structural relaxation from Alexandria via LeMat-Bulk. Energies are from GGA-PBE.

It has space group Pnma (No. 62), with a = 13.4637 Å, b = 5.2285 Å, c = 12.7831 Å, α = 90.00°, β = 90.00° and γ = 90.00°. The asymmetric unit holds Pm at (0.0881, 0.2500, 0.1908), Pm at (0.1776, 0.7500, 0.7710), Pm at (0.1877, 0.7500, 0.3795), Dy at (0.0191, 0.2500, 0.4327), Dy at (0.0545, 0.2500, 0.9290), Dy at (0.2257, 0.7500, 0.0617) and In at (0.0530, 0.2500, 0.6831).

The density of states at the Fermi level comes out at 10.49 states/eV/f.u.

---

Which of them is most stable, and which least? Most stable: (w); least stable: (x).

---

(w)
Here is Pm12Dy7In after structural relaxation from Alexandria via LeMat-Bulk. Energies are from GGA-PBE.

It has space group Im-3m (No. 229), with a = 11.5304 Å, b = 11.5304 Å, c = 11.5304 Å, α = 90.00°, β = 90.00° and γ = 90.00°. The asymmetric unit holds Pm at (0.0000, 0.2219, 0.2219), Dy at (0.0000, 0.0000, 0.5000), Dy at (0.2500, 0.2500, 0.2500) and In at (0.0000, 0.0000, 0.0000).

The density of states at the Fermi level comes out at 33.22 states/eV/f.u.

---

(x)
Here is Pm12Dy7In after structural relaxation from Alexandria via LeMat-Bulk. Energies are from GGA-PBE.

It has space group R-3m (No. 166, hexagonal axes), with a = 11.7307 Å, b = 11.7307 Å, c = 17.2925 Å, α = 90.00°, β = 90.00° and γ = 120.00°. The asymmetric unit holds Pm at (0.0676, 0.5338, 0.2495), Pm at (0.0767, 0.5383, 0.5765), Dy at (0.0000, 0.0000, 0.0000), Dy at (0.1051, 0.2101, 0.2560) and In at (0.0000, 0.0000, 0.5000).

The density of states at the Fermi level comes out at 25.81 states/eV/f.u.

---

Which of them is most stable, and which least? Most stable: (x); least stable: (w).

---

(w)
Here is PmDy4In3 after structural relaxation from Alexandria via LeMat-Bulk. Energies are from GGA-PBE.

It has space group Immm (No. 71), with a = 3.4984 Å, b = 8.8017 Å, c = 15.3041 Å, α = 90.00°, β = 90.00° and γ = 90.00°. The asymmetric unit holds Pm at (0.0000, 0.0000, 0.0000), Dy at (0.0000, 0.3024, 0.1403), In at (0.0000, 0.0000, 0.5000) and In at (0.0000, 0.5000, 0.3139).

The density of states at the Fermi level comes out at 8.56 states/eV/f.u.

---

(x)
Here is PmDy4In3 after structural relaxation from Alexandria via LeMat-Bulk. Energies are from GGA-PBE.

It has space group R-3m (No. 166, hexagonal axes), with a = 5.3725 Å, b = 5.3725 Å, c = 27.2668 Å, α = 90.00°, β = 90.00° and γ = 120.00°. The asymmetric unit holds Pm at (0.0000, 0.0000, 0.0000), Dy at (0.0000, 0.0000, 0.1300), Dy at (0.0000, 0.0000, 0.3865), In at (0.0000, 0.0000, 0.2616) and In at (0.0000, 0.0000, 0.5000).

The density of states at the Fermi level comes out at 10.29 states/eV/f.u.

---

Which of them is most stable, and which least? Most stable: (x); least stable: (w).

---

(w)
Here is PmDy6In5 after structural relaxation from Alexandria via LeMat-Bulk. Energies are from GGA-PBE.

It has space group C2/m (No. 12), with a = 6.1702 Å, b = 10.8139 Å, c = 10.5995 Å, α = 90.00°, β = 101.64° and γ = 90.00°. The asymmetric unit holds Pm at (0.0000, 0.0000, 0.0000), Dy at (0.2363, 0.5000, 0.2555), Dy at (0.2394, 0.3258, 0.7396), In at (0.0000, 0.1601, 0.5000), In at (0.0000, 0.3296, 0.0000) and In at (0.0000, 0.5000, 0.5000).

The density of states at the Fermi level comes out at 13.50 states/eV/f.u.

---

(x)
Here is PmDy6In5 after structural relaxation from Alexandria via LeMat-Bulk. Energies are from GGA-PBE.

It has space group Immm (No. 71), with a = 4.9958 Å, b = 8.7806 Å, c = 15.1071 Å, α = 90.00°, β = 90.00° and γ = 90.00°. The asymmetric unit holds Pm at (0.0000, 0.0000, 0.0000), Dy at (0.0000, 0.2266, 0.5000), Dy at (0.0000, 0.2638, 0.1700), In at (0.0000, 0.0000, 0.3223), In at (0.0000, 0.5000, 0.0000) and In at (0.0000, 0.5000, 0.3469).

The density of states at the Fermi level comes out at 12.02 states/eV/f.u.

---

Which of them is most stable, and which least? Most stable: (x); least stable: (w).